First-principles (PBE-GGA) data for a relaxed CsK3Re crystal, as listed in the Alexandria database.

Calculated formation energy in eV/atom: 1.254
Polymorph energy (0 for the lowest one) in kJ per mole of atoms: 0.00

POSCAR file:
```
CsK3Re
1.0
6.830 0.000 0.000
0.000 6.830 0.000
0.000 0.000 6.830
Re K Cs
1 3 1
direct
0.000 0.000 0.000 Re
0.000 0.000 0.500 K
0.000 0.500 0.000 K
0.500 0.000 0.000 K
0.500 0.500 0.500 Cs
```